Record 1
Li2AsW | the Alexandria database | PBE-GGA | relaxed; DOS at the Fermi energy = 3.88 states/eV per cell; energy relative to the elements = 174 meV/atom; space-group type = I-4m2 (119)
1.0
-1.8615 1.8615 3.9257
1.8615 -1.8615 3.9257
1.8615 1.8615 -3.9257
Li As W
2 1 1
direct
0.0000 0.0000 0.0000 Li
0.7500 0.2500 0.5000 Li
0.2500 0.7500 0.5000 As
0.5000 0.5000 0.0000 W

Record 2
BaFe2Mo | the Alexandria database | PBE-GGA | relaxed; DOS at the Fermi energy = 4.44 states/eV per cell; energy relative to the elements = 573 meV/atom; space-group type = R3m (160)
1.0
2.0852 1.2039 6.0475
-2.0852 1.2039 6.0475
0.0000 -2.4078 6.0475
Ba Fe Mo
1 2 1
direct
0.0000 0.0000 0.0000 Ba
0.1944 0.1944 0.1944 Fe
0.5000 0.5000 0.5000 Fe
0.8097 0.8097 0.8097 Mo

Record 3
Mg8Fe3N8 | the Alexandria database | PBE-GGA | relaxed; DOS at the Fermi energy = 5.36 states/eV per cell; space-group type = C2/m (12); formation energy from raw total energies = -0.4377 eV per atom
1.0
8.2360 -2.1800 0.0000
8.2360 2.1800 0.0000
-1.8196 0.0000 6.3615
Mg Fe N
8 3 8
direct
0.0312 0.0312 0.2442 Mg
0.1897 0.1897 0.7942 Mg
0.3374 0.3374 0.5348 Mg
0.4115 0.4115 0.0342 Mg
0.5885 0.5885 0.9658 Mg
0.6626 0.6626 0.4652 Mg
0.8103 0.8103 0.2058 Mg
0.9688 0.9688 0.7558 Mg
0.1915 0.1915 0.2081 Fe
0.5000 0.5000 0.5000 Fe
0.8085 0.8085 0.7919 Fe
0.1009 0.1009 0.9860 N
0.1737 0.1737 0.4563 N
0.2946 0.2946 0.1835 N
0.4663 0.4663 0.7441 N
0.5337 0.5337 0.2559 N
0.7054 0.7054 0.8165 N
0.8263 0.8263 0.5437 N
0.8991 0.8991 0.0140 N

Record 4
CsTmNiBr6 | the Alexandria database | PBE-GGA | relaxed; space-group type = P312 (149); formation energy from raw total energies = -1.3337 eV per atom
1.0
6.9709 0.0000 0.0000
-3.4855 6.0370 0.0000
0.0000 0.0000 8.2369
Cs Tm Ni Br
1 1 1 6
direct
0.0000 0.0000 0.0000 Cs
0.3333 0.6667 0.5000 Tm
0.6667 0.3333 0.5000 Ni
0.3822 0.0202 0.6858 Br
0.3822 0.3621 0.3142 Br
0.6379 0.0202 0.3142 Br
0.6379 0.6178 0.6858 Br
0.9798 0.3621 0.6858 Br
0.9798 0.6178 0.3142 Br

Record 5
LiErSnBi | the Alexandria database | PBE-GGA | relaxed; DOS at the Fermi energy = 3.85 states/eV per cell; energy relative to the elements = -376 meV/atom; space-group type = F-43m (216)
1.0
0.0000 3.7302 3.7302
3.7302 0.0000 3.7302
3.7302 3.7302 0.0000
Li Er Sn Bi
1 1 1 1
direct
0.0000 0.0000 0.0000 Li
0.5000 0.5000 0.5000 Er
0.7500 0.7500 0.7500 Sn
0.2500 0.2500 0.2500 Bi

Record 6
CaZnSi2 | the Alexandria database | PBE-GGA | relaxed; DOS at the Fermi energy = 1.90 states/eV per cell; space-group type = P4mm (99); formation energy from raw total energies = -0.0372 eV per atom
1.0
3.3896 0.0000 0.0000
0.0000 3.3896 0.0000
0.0000 0.0000 6.5745
Ca Zn Si
1 1 2
direct
0.0000 0.0000 0.0000 Ca
0.5000 0.5000 0.6936 Zn
0.0000 0.0000 0.4734 Si
0.5000 0.5000 0.3131 Si

Record 7
NiPdSe3 | the Alexandria database | PBE-GGA | relaxed; DOS at the Fermi energy = 5.42 states/eV per cell; space-group type = P2_1/m (11); formation energy from raw total energies = -0.2074 eV per atom
1.0
6.7340 0.0000 0.0000
0.0000 3.7495 0.0000
-1.5617 0.0000 8.3841
Ni Pd Se
2 2 6
direct
0.0902 0.2500 0.1103 Ni
0.9098 0.7500 0.8897 Ni
0.4123 0.2500 0.6840 Pd
0.5877 0.7500 0.3160 Pd
0.1786 0.7500 0.7175 Se
0.2530 0.7500 0.0240 Se
0.3447 0.2500 0.3460 Se
0.6553 0.7500 0.6540 Se
0.7470 0.2500 0.9760 Se
0.8214 0.2500 0.2825 Se

Record 8
PaCo2PH2 | the Alexandria database | PBE-GGA | relaxed; DOS at the Fermi energy = 10.20 states/eV per cell; space-group type = P2_1/m (11)
1.0
5.3270 0.0000 0.0000
0.0000 4.9403 0.0000
-1.6714 0.0000 5.2798
Pa Co P H
2 4 2 4
direct
0.1898 0.2500 0.3036 Pa
0.8102 0.7500 0.6964 Pa
0.3323 0.0002 0.7715 Co
0.3323 0.4998 0.7715 Co
0.6677 0.9998 0.2285 Co
0.6677 0.5002 0.2285 Co
0.3049 0.7500 0.1003 P
0.6951 0.2500 0.8997 P
0.1137 0.2500 0.7128 H
0.2811 0.7500 0.5634 H
0.7189 0.2500 0.4366 H
0.8863 0.7500 0.2872 H

Record 9
Pu2BiF | the Alexandria database | PBE-GGA | relaxed; DOS at the Fermi energy = 13.80 states/eV per cell; space-group type = P4/mmm (123); formation energy from raw total energies = -0.9300 eV per atom
1.0
3.4896 0.0000 0.0000
0.0000 3.4896 0.0000
0.0000 0.0000 7.7772
Pu Bi F
2 1 1
direct
0.0000 0.0000 0.2154 Pu
0.0000 0.0000 0.7846 Pu
0.5000 0.5000 0.5000 Bi
0.5000 0.5000 0.0000 F

Record 10
Rb3ScB | the Alexandria database | PBE-GGA | relaxed; DOS at the Fermi energy = 17.19 states/eV per cell; energy relative to the elements = 1330 meV/atom; space-group type = Pm-3m (221)
1.0
6.3916 0.0000 0.0000
0.0000 6.3916 0.0000
0.0000 0.0000 6.3916
Rb Sc B
3 1 1
direct
0.0000 0.0000 0.5000 Rb
0.0000 0.5000 0.0000 Rb
0.5000 0.0000 0.0000 Rb
0.5000 0.5000 0.5000 Sc
0.0000 0.0000 0.0000 B

Record 11
AcLa3Au4 | the Alexandria database | PBE-GGA | relaxed; DOS at the Fermi energy = 6.77 states/eV per cell; energy relative to the elements = -775 meV/atom; space-group type = P4/mmm (123)
1.0
5.4049 0.0000 0.0000
0.0000 5.4049 0.0000
0.0000 0.0000 7.5973
Ac La Au
1 3 4
direct
0.0000 0.0000 0.0000 Ac
0.0000 0.0000 0.5000 La
0.5000 0.5000 0.0000 La
0.5000 0.5000 0.5000 La
0.0000 0.5000 0.2581 Au
0.0000 0.5000 0.7419 Au
0.5000 0.0000 0.2581 Au
0.5000 0.0000 0.7419 Au

Record 12
Hf2Zr6Rh | the Alexandria database | PBE-GGA | relaxed; DOS at the Fermi energy = 6.02 states/eV per cell; energy relative to the elements = -36 meV/atom; space-group type = C2/m (12)
1.0
7.4066 -4.2695 0.0000
7.4066 4.2695 0.0000
-0.0139 0.0000 3.0289
Hf Zr Rh
2 6 1
direct
0.1665 0.1665 0.0002 Hf
0.8335 0.8335 0.9998 Hf
0.1751 0.4999 0.5043 Zr
0.1764 0.8236 0.5000 Zr
0.4999 0.1751 0.5043 Zr
0.5001 0.8249 0.4957 Zr
0.8236 0.1764 0.5000 Zr
0.8249 0.5001 0.4957 Zr
0.5000 0.5000 0.0000 Rh

Record 13
Th6Ni2C3S | the Alexandria database | PBE-GGA | relaxed; DOS at the Fermi energy = 7.53 states/eV per cell; space-group type = C2/m (12); formation energy from raw total energies = -0.5738 eV per atom
1.0
8.7899 -1.9114 0.0000
8.7899 1.9114 0.0000
-2.6456 0.0000 7.4793
Th Ni C S
6 2 3 1
direct
0.0032 0.0032 0.2332 Th
0.3205 0.3205 0.4102 Th
0.3492 0.3492 0.8860 Th
0.6508 0.6508 0.1140 Th
0.6795 0.6795 0.5898 Th
0.9968 0.9968 0.7668 Th
0.1983 0.1983 0.9072 Ni
0.8017 0.8017 0.0928 Ni
0.1603 0.1603 0.3555 C
0.5000 0.5000 0.0000 C
0.8397 0.8397 0.6445 C
0.5000 0.5000 0.5000 S

Record 14
FeTeRu2 | the Alexandria database | PBE-GGA | relaxed; DOS at the Fermi energy = 3.62 states/eV per cell; space-group type = R3m (160); formation energy from raw total energies = 0.5645 eV per atom
1.0
1.4850 0.8574 8.3386
-1.4850 0.8574 8.3386
0.0000 -1.7147 8.3386
Fe Te Ru
1 1 2
direct
0.0000 0.0000 0.0000 Fe
0.7523 0.7523 0.7523 Te
0.2548 0.2548 0.2548 Ru
0.5063 0.5063 0.5063 Ru

Record 15
CeTmPb | the Alexandria database | PBE-GGA | relaxed; DOS at the Fermi energy = 7.53 states/eV per cell; energy relative to the elements = -143 meV/atom; space-group type = P3m1 (156)
1.0
5.3631 0.0000 0.0000
-2.6816 4.6446 0.0000
0.0000 0.0000 3.6352
Ce Tm Pb
1 1 1
direct
0.0000 0.0000 0.0000 Ce
0.3333 0.6667 0.4662 Tm
0.6667 0.3333 0.6030 Pb

Record 16
Cd12Ag5Rh2 | the Alexandria database | PBE-GGA | relaxed; DOS at the Fermi energy = 7.22 states/eV per cell; energy relative to the elements = -22 meV/atom; space-group type = C2/m (12)
1.0
6.5117 -4.3822 0.0000
6.5117 4.3822 0.0000
-0.1503 0.0000 6.7486
Cd Ag Rh
12 5 2
direct
0.0556 0.0556 0.2116 Cd
0.1094 0.5390 0.7011 Cd
0.1198 0.6617 0.1302 Cd
0.3383 0.8802 0.8698 Cd
0.4014 0.4014 0.3930 Cd
0.4610 0.8906 0.2989 Cd
0.5390 0.1094 0.7011 Cd
0.5986 0.5986 0.6070 Cd
0.6617 0.1198 0.1302 Cd
0.8802 0.3383 0.8698 Cd
0.8906 0.4610 0.2989 Cd
0.9444 0.9444 0.7884 Cd
0.1683 0.1683 0.5775 Ag
0.2639 0.2639 0.0193 Ag
0.5000 0.5000 0.0000 Ag
0.7361 0.7361 0.9807 Ag
0.8317 0.8317 0.4225 Ag
0.2175 0.7825 0.5000 Rh
0.7825 0.2175 0.5000 Rh

Record 17
PmPrNd2Sm6 | the Alexandria database | PBE-GGA | relaxed; DOS at the Fermi energy = 31.17 states/eV per cell; energy relative to the elements = 116 meV/atom; space-group type = C2/c (15)
1.0
4.6074 -7.6634 0.0000
4.6074 7.6634 0.0000
-1.5461 0.0000 9.8356
Pm Pr Nd Sm
2 2 4 12
direct
0.0939 0.9061 0.7500 Pm
0.9061 0.0939 0.2500 Pm
0.4819 0.5181 0.2500 Pr
0.5181 0.4819 0.7500 Pr
0.2076 0.3080 0.9578 Nd
0.3080 0.2076 0.4578 Nd
0.6920 0.7924 0.5422 Nd
0.7924 0.6920 0.0422 Nd
0.0054 0.7962 0.3793 Sm
0.0728 0.5213 0.1855 Sm
0.2038 0.9946 0.1207 Sm
0.2425 0.6190 0.5562 Sm
0.3810 0.7575 0.9438 Sm
0.4787 0.9272 0.3145 Sm
0.5213 0.0728 0.6855 Sm
0.6190 0.2425 0.0562 Sm
0.7575 0.3810 0.4438 Sm
0.7962 0.0054 0.8793 Sm
0.9272 0.4787 0.8145 Sm
0.9946 0.2038 0.6207 Sm

Record 18
SrAsPt2 | the Alexandria database | PBE-GGA | relaxed; DOS at the Fermi energy = 1.63 states/eV per cell; energy relative to the elements = -664 meV/atom; space-group type = Pmmm (47)
1.0
4.0052 0.0000 0.0000
0.0000 4.5559 0.0000
0.0000 0.0000 5.4397
Sr As Pt
1 1 2
direct
0.0000 0.0000 0.0000 Sr
0.0000 0.5000 0.5000 As
0.5000 0.5000 0.2424 Pt
0.5000 0.5000 0.7576 Pt

Record 19
SmRh2F8 | the Alexandria database | PBE-GGA | relaxed; DOS at the Fermi energy = 1.74 states/eV per cell; space-group type = C2/m (12); formation energy from raw total energies = -2.2430 eV per atom
1.0
5.0111 -3.7063 0.0000
5.0111 3.7063 0.0000
-0.2341 0.0000 4.4104
Sm Rh F
1 2 8
direct
0.0000 0.0000 0.0000 Sm
0.3848 0.3848 0.7426 Rh
0.6152 0.6152 0.2574 Rh
0.1192 0.6647 0.7468 F
0.1843 0.1843 0.7323 F
0.3353 0.8808 0.2532 F
0.4081 0.4081 0.2457 F
0.5919 0.5919 0.7543 F
0.6647 0.1192 0.7468 F
0.8157 0.8157 0.2677 F
0.8808 0.3353 0.2532 F

Record 20
Na4Br2F | the Alexandria database | PBE-GGA | relaxed; DOS at the Fermi energy = 1.68 states/eV per cell; space-group type = I4/mmm (139); formation energy from raw total energies = -1.5246 eV per atom
1.0
-2.2192 2.2192 9.5295
2.2192 -2.2192 9.5295
2.2192 2.2192 -9.5295
Na Br F
4 2 1
direct
0.0000 0.5000 0.5000 Na
0.1740 0.1740 0.0000 Na
0.5000 0.0000 0.5000 Na
0.8260 0.8260 0.0000 Na
0.3913 0.3913 0.0000 Br
0.6087 0.6087 0.0000 Br
0.0000 0.0000 0.0000 F

Number 1: total moment 0.507 μB/f.u., VASP energy -20.74 eV per cell. Number 2: total moment 4.154 μB/f.u., VASP energy -27.39 eV per cell. Number 3: total moment 7.392 μB/f.u., VASP energy -113.06 eV per cell. Number 4: total moment 2.037 μB/f.u., VASP energy -33.15 eV per cell. Number 5: total moment 0.000 μB/f.u., VASP energy -15.86 eV per cell. Number 6: total moment 0.000 μB/f.u., VASP energy -14.27 eV per cell. Number 7: total moment 0.000 μB/f.u., VASP energy -44.93 eV per cell. Number 8: total moment 0.000 μB/f.u., VASP energy -77.10 eV per cell. Number 9: total moment 12.847 μB/f.u., VASP energy -38.14 eV per cell. Number 10: total moment 1.614 μB/f.u., VASP energy -9.26 eV per cell. Number 11: total moment 0.000 μB/f.u., VASP energy -38.20 eV per cell. Number 12: total moment 0.000 μB/f.u., VASP energy -78.87 eV per cell. Number 13: total moment 0.000 μB/f.u., VASP energy -94.77 eV per cell. Number 14: total moment 2.627 μB/f.u., VASP energy -27.90 eV per cell. Number 15: total moment 1.848 μB/f.u., VASP energy -14.54 eV per cell. Number 16: total moment 0.000 μB/f.u., VASP energy -40.36 eV per cell. Number 17: total moment 0.000 μB/f.u., VASP energy -92.45 eV per cell. Number 18: total moment 0.000 μB/f.u., VASP energy -21.07 eV per cell. Number 19: total moment 0.231 μB/f.u., VASP energy -59.07 eV per cell. Number 20: total moment 0.000 μB/f.u., VASP energy -21.17 eV per cell.